This record from the Alexandria database describes an optimized crystal structure of TcIr2Ru. The functional is GGA-PBE.

Values from the calculation:
E   -8.38 eV/atom
Energy relative to the elements   965 meV per atom
Fermi-level density of states   1.0104 states/eV/atom
ΔE to the lowest computed polymorph   1.132 eV/atom

Cell lengths 3.9294, 3.9296, 6.7837 Å; angles 73.08, 73.08, 59.75 degrees
Closest atoms and distances in Å follow each position.
Atoms (fractional coordinates):
Tc (0.7374, 0.1822, 0.6863)  4 Ir 2.40-2.42
Ir (0.1145, 0.5593, 0.5539)  1 Ru 2.41, 3 Tc 2.42
Ir (0.6120, 0.0572, 0.0611)  3 Ru 2.38, 1 Tc 2.40
Ru (0.2406, 0.6858, 0.1772)  4 Ir 2.38-2.41